Record 1
Density functional theory data (PBE) for a geometry-optimized YSc2In structure.

Unit cell a=10.760 b=10.760 c=10.760 alpha=18.01 beta=18.01 gamma=18.01
Element x y z (fractional)
Y 0.000 0.000 0.000
Sc 0.246 0.246 0.246
Sc 0.754 0.754 0.754
In 0.500 0.500 0.500

Computed properties:
Its energy of formation from the pure elements is -0.113 eV per atom.



Record 2
Density functional theory data (PBE) for a geometry-optimized TbPmMgAl structure.

Unit cell a=5.276 b=5.276 c=5.276 alpha=60.00 beta=60.00 gamma=60.00
Element x y z (fractional)
Tb 0.000 0.000 0.000
Pm 0.500 0.500 0.500
Mg 0.750 0.750 0.750
Al 0.250 0.250 0.250

Computed properties:
Its energy of formation from the pure elements is -0.269 eV per atom.